# 1
Compound: YGa3Tc
Source: Alexandria
Functional: meta-GGA SCAN
Structure: single point on PBEsol structure

Properties
D(E_F): 4.2 states/eV per cell
Energy of formation: 1431 meV/atom

Cell lengths 5.1588, 5.1588, 5.1588 Å; angles 90.00, 90.00, 90.00 degrees
Last column: nearest neighbours and their distance in Å.
Positions (direct):
Ga1 0.0000 0.5000 0.0000  2 Y 2.58
Tc1 0.5000 0.5000 0.5000  12 Ga 3.65
Ga2 0.5000 0.0000 0.0000  2 Y 2.58
Y1 0.0000 0.0000 0.0000  6 Ga 2.58
Ga3 0.0000 0.0000 0.5000  2 Y 2.58

# 2
Compound: ZrGaTc
Source: Alexandria
Functional: meta-GGA SCAN
Structure: single point on PBEsol structure

Properties
D(E_F): 3.8 states/eV per cell
Energy of formation: -596 meV/atom

Cell lengths 5.1681, 5.1681, 5.1681 Å; angles 89.04, 61.13, 120.03 degrees
Last column: nearest neighbours and their distance in Å.
Positions (direct):
Zr1 0.2500 0.6169 0.1331  6 Tc 2.96-3.08, 6 Ga 3.02-3.07, 4 Zr 3.13-3.22
Zr2 0.7500 0.3831 0.8669  6 Tc 2.96-3.08, 6 Ga 3.02-3.07, 4 Zr 3.13-3.22
Tc1 0.0000 0.0000 0.5000  2 Tc 2.58, 4 Ga 2.58
Ga1 0.0000 0.0000 0.0000  4 Tc 2.58, 2 Ga 2.63
Tc2 0.5000 0.5000 0.5000  2 Tc 2.58, 4 Ga 2.58
Ga2 0.5000 0.0000 0.5000  4 Tc 2.58, 2 Ga 2.63

# 3
Compound: Ga2Te3
Source: Alexandria
Functional: meta-GGA SCAN
Structure: single point on PBEsol structure

Properties
D(E_F): 2.6 states/eV per cell
Energy relative to the elements, uncorrected: 0.114 eV per formula unit

Cell lengths 4.0309, 4.0309, 9.3387 Å; angles 77.54, 77.54, 60.00 degrees
Last column: nearest neighbours and their distance in Å.
Positions (direct):
Ga1 0.8068 0.8068 0.5797  3 Ga 2.74, 3 Te 2.85
Te1 0.0000 0.0000 0.0000  6 Te 3.17
Ga2 0.1932 0.1932 0.4203  3 Ga 2.74, 3 Te 2.85
Te2 0.4128 0.4128 0.7616  3 Ga 2.85, 3 Te 3.17
Te3 0.5872 0.5872 0.2384  3 Ga 2.85, 3 Te 3.17

# 4
Compound: Ga2Te3
Source: Alexandria
Functional: meta-GGA SCAN
Structure: single point on PBEsol structure

Properties
Energy relative to the elements, uncorrected: -1.596 eV per formula unit

Cell lengths 7.1734, 7.1766, 7.2080 Å; angles 119.86, 99.37, 70.91 degrees
Last column: nearest neighbours and their distance in Å.
Positions (direct):
Te1 0.9883 0.5409 0.8469  3 Ga 2.66-2.67
Te2 0.4883 0.6940 0.1531  3 Ga 2.66-2.67
Ga1 0.3781 0.3535 0.8246  4 Te 2.56-2.67
Ga2 0.8781 0.5289 0.1754  4 Te 2.56-2.67
Te3 0.5261 0.9829 0.8376  2 Ga 2.56-2.58
Te4 0.0261 0.1453 0.1624  2 Ga 2.56-2.58
Ga3 0.3736 0.7174 0.4985  4 Te 2.58-2.67
Ga4 0.8736 0.2189 0.5015  4 Te 2.58-2.67
Te5 0.9839 0.8449 0.5383  3 Ga 2.66-2.67
Te6 0.4839 0.3066 0.4617  3 Ga 2.66-2.67

# 5
Compound: GaTe
Source: Alexandria
Functional: meta-GGA SCAN
Structure: single point on PBEsol structure

Properties
Energy relative to the elements, uncorrected: -0.724 eV per formula unit

Cell lengths 4.0796, 8.8697, 10.4055 Å; angles 103.56, 90.00, 103.30 degrees
Last column: nearest neighbours and their distance in Å.
Positions (direct):
Te1 0.8426 0.6852 0.9498  3 Ga 2.66-2.68
Te2 0.1569 0.3139 0.6799  3 Ga 2.65-2.67
Ga1 0.1373 0.2745 0.4198  1 Ga 2.42, 3 Te 2.65-2.67
Ga2 0.5632 0.1265 0.0828  1 Ga 2.43, 3 Te 2.68-2.69
Ga3 0.7585 0.5170 0.6996  1 Ga 2.42, 3 Te 2.66-2.67
Te3 0.1574 0.3148 0.0502  3 Ga 2.66-2.68
Te4 0.4608 0.9215 0.6712  3 Ga 2.67-2.69
Te5 0.5392 0.0785 0.3288  3 Ga 2.67-2.69
Ga4 0.4368 0.8735 0.9172  1 Ga 2.43, 3 Te 2.68-2.69
Ga5 0.2415 0.4830 0.3004  1 Ga 2.42, 3 Te 2.66-2.67
Te6 0.8431 0.6861 0.3201  3 Ga 2.65-2.67
Ga6 0.8627 0.7255 0.5802  1 Ga 2.42, 3 Te 2.65-2.67

# 6
Compound: TlGaTe3
Source: Alexandria
Functional: meta-GGA SCAN
Structure: single point on PBEsol structure

Properties
D(E_F): 3.5 states/eV per cell
Energy relative to the elements, uncorrected: 0.597 eV per formula unit

Cell lengths 5.3654, 5.3654, 5.3654 Å; angles 90.00, 90.00, 90.00 degrees
Last column: nearest neighbours and their distance in Å.
Positions (direct):
Ga1 0.0000 0.0000 0.0000  6 Te 2.68
Te1 0.0000 0.0000 0.5000  2 Ga 2.68
Tl1 0.5000 0.5000 0.5000  12 Te 3.79
Te2 0.0000 0.5000 0.0000  2 Ga 2.68
Te3 0.5000 0.0000 0.0000  2 Ga 2.68

# 7
Compound: Ga3TeW
Source: Alexandria
Functional: meta-GGA SCAN
Structure: single point on PBEsol structure

Properties
D(E_F): 2.3 states/eV per cell
Energy relative to the elements, uncorrected: 9.293 eV per formula unit

Cell lengths 5.1425, 5.1425, 5.1425 Å; angles 90.00, 90.00, 90.00 degrees
Last column: nearest neighbours and their distance in Å.
Positions (direct):
Ga1 0.0000 0.5000 0.0000  2 Te 2.57
W1 0.5000 0.5000 0.5000  12 Ga 3.64
Te1 0.0000 0.0000 0.0000  6 Ga 2.57
Ga2 0.0000 0.0000 0.5000  2 Te 2.57
Ga3 0.5000 0.0000 0.0000  2 Te 2.57

# 8
Compound: YGaTe3
Source: Alexandria
Functional: meta-GGA SCAN
Structure: single point on PBEsol structure

Properties
D(E_F): 6.5 states/eV per cell
Energy relative to the elements, uncorrected: -1.283 eV per formula unit

Cell lengths 5.7699, 5.7699, 5.7699 Å; angles 90.00, 90.00, 90.00 degrees
Last column: nearest neighbours and their distance in Å.
Positions (direct):
Y1 0.0000 0.0000 0.0000  6 Te 2.88
Ga1 0.5000 0.5000 0.5000  12 Te 4.08
Te1 0.5000 0.0000 0.0000  2 Y 2.88
Te2 0.0000 0.5000 0.0000  2 Y 2.88
Te3 0.0000 0.0000 0.5000  2 Y 2.88

# 9
Compound: ZnGa2Te4
Source: Alexandria
Functional: meta-GGA SCAN
Structure: single point on PBEsol structure

Properties
Energy relative to the elements, uncorrected: -2.716 eV per formula unit

Cell lengths 5.9244, 5.9244, 7.2250 Å; angles 114.20, 114.20, 90.00 degrees
Last column: nearest neighbours and their distance in Å.
Positions (direct):
Te1 0.9051 0.4065 0.2703  2 Ga 2.63-2.64, 1 Zn 2.64
Te2 0.1362 0.0949 0.7297  2 Ga 2.63-2.64, 1 Zn 2.64
Te3 0.3652 0.8638 0.2703  2 Ga 2.63-2.64, 1 Zn 2.64
Zn1 0.0000 0.0000 0.0000  4 Te 2.64
Ga1 0.5000 0.5000 0.0000  4 Te 2.63
Te4 0.5935 0.6348 0.7297  2 Ga 2.63-2.64, 1 Zn 2.64
Ga2 0.7500 0.2500 0.5000  4 Te 2.64

# 10
Compound: ThGa
Source: Alexandria
Functional: meta-GGA SCAN
Structure: single point on PBEsol structure

Properties
D(E_F): 12.5 states/eV per cell
Energy of formation: -572 meV/atom

Cell lengths 4.0758, 5.9860, 16.2169 Å; angles 90.00, 90.00, 90.00 degrees
Last column: nearest neighbours and their distance in Å.
Positions (direct):
Ga1 0.7500 0.7563 0.8932  2 Ga 2.60
Ga2 0.7500 0.0059 0.6431  2 Ga 2.60
Th1 0.2500 0.7510 0.0366  7 Ga 3.08-3.26
Th2 0.7500 0.9865 0.2135  7 Ga 3.09-3.26
Th3 0.7500 0.5135 0.7135  7 Ga 3.09-3.26
Th4 0.7500 0.2490 0.9634  7 Ga 3.08-3.26
Th5 0.2500 0.7490 0.5366  7 Ga 3.08-3.26
Ga3 0.7500 0.4941 0.1431  2 Ga 2.60
Ga4 0.2500 0.9941 0.3569  2 Ga 2.60
Th6 0.7500 0.2510 0.4634  7 Ga 3.08-3.26
Ga5 0.2500 0.2437 0.1068  2 Ga 2.60
Th7 0.2500 0.0135 0.7865  7 Ga 3.09-3.26
Ga6 0.7500 0.7437 0.3932  2 Ga 2.60
Ga7 0.2500 0.5059 0.8569  2 Ga 2.60
Th8 0.2500 0.4865 0.2865  7 Ga 3.09-3.26
Ga8 0.2500 0.2563 0.6068  2 Ga 2.60

# 11
Compound: ThGa2
Source: Alexandria
Functional: meta-GGA SCAN
Structure: single point on PBEsol structure

Properties
D(E_F): 0.7 states/eV per cell
Energy of formation: -729 meV/atom

Cell lengths 4.2114, 4.2114, 7.8716 Å; angles 105.52, 105.52, 90.00 degrees
Last column: nearest neighbours and their distance in Å.
Positions (direct):
Ga1 0.3332 0.8332 0.6665  3 Ga 2.43
Th1 0.7500 0.2500 0.5000  12 Ga 3.22
Ga2 0.9168 0.9168 0.8335  3 Ga 2.43
Th2 0.5000 0.5000 0.0000  12 Ga 3.22
Ga3 0.1668 0.6668 0.3335  3 Ga 2.43
Ga4 0.0832 0.0832 0.1665  3 Ga 2.43

# 12
Compound: Ti2Ga3
Source: Alexandria
Functional: meta-GGA SCAN
Structure: single point on PBEsol structure

Properties
D(E_F): 5.2 states/eV per cell
Energy of formation: -564 meV/atom

Cell lengths 3.9383, 6.2024, 6.2024 Å; angles 90.00, 90.00, 90.00 degrees
Last column: nearest neighbours and their distance in Å.
Positions (direct):
Ga1 0.0000 0.6040 0.8169  4 Ga 2.61-2.86, 6 Ti 2.69-2.81
Ga2 0.5000 0.5000 0.5000  4 Ti 2.62, 8 Ga 2.86
Ti1 0.5000 0.1265 0.3033  9 Ga 2.62-2.83, 3 Ti 2.88-2.90
Ga3 0.0000 0.8169 0.3960  4 Ga 2.61-2.86, 6 Ti 2.69-2.81
Ga4 0.0000 0.1831 0.6040  4 Ga 2.61-2.86, 6 Ti 2.69-2.81
Ti2 0.5000 0.8735 0.6967  9 Ga 2.62-2.83, 3 Ti 2.88-2.90
Ga5 0.0000 0.3960 0.1831  4 Ga 2.61-2.86, 6 Ti 2.69-2.81
Ti3 0.5000 0.6967 0.1265  9 Ga 2.62-2.83, 3 Ti 2.88-2.90
Ga6 0.0000 0.0000 0.0000  4 Ga 2.71, 8 Ti 2.83
Ti4 0.5000 0.3033 0.8735  9 Ga 2.62-2.83, 3 Ti 2.88-2.90

# 13
Compound: Ti5Ga4
Source: Alexandria
Functional: meta-GGA SCAN
Structure: single point on PBEsol structure

Properties
D(E_F): 19.4 states/eV per cell
Energy of formation: -542 meV/atom

Cell lengths 5.3271, 7.7752, 7.7752 Å; angles 120.00, 90.00, 90.00 degrees
Last column: nearest neighbours and their distance in Å.
Positions (direct):
Ti1 0.7500 0.0000 0.2871  7 Ga 2.60-2.75
Ti2 0.5000 0.6667 0.3333  2 Ti 2.66, 6 Ga 2.78
Ga1 0.0000 0.0000 0.0000  6 Ti 2.60, 2 Ga 2.66
Ti3 0.5000 0.3333 0.6667  2 Ti 2.66, 6 Ga 2.78
Ga2 0.7500 0.0000 0.6236  9 Ti 2.62-2.78
Ga3 0.2500 0.3764 0.0000  9 Ti 2.62-2.78
Ti4 0.2500 0.2871 0.2871  7 Ga 2.60-2.75
Ga4 0.2500 0.6236 0.6236  9 Ti 2.62-2.78
Ti5 0.7500 0.2871 0.0000  7 Ga 2.60-2.75
Ti6 0.2500 0.7129 0.0000  7 Ga 2.60-2.75
Ga5 0.7500 0.6236 0.0000  9 Ti 2.62-2.78
Ti7 0.7500 0.7129 0.7129  7 Ga 2.60-2.75
Ti8 0.2500 0.0000 0.7129  7 Ga 2.60-2.75
Ti9 0.0000 0.6667 0.3333  2 Ti 2.66, 6 Ga 2.78
Ga6 0.5000 0.0000 0.0000  6 Ti 2.60, 2 Ga 2.66
Ga7 0.7500 0.3764 0.3764  9 Ti 2.62-2.78
Ga8 0.2500 0.0000 0.3764  9 Ti 2.62-2.78
Ti10 0.0000 0.3333 0.6667  2 Ti 2.66, 6 Ga 2.78

# 14
Compound: Ti2Ga
Source: Alexandria
Functional: meta-GGA SCAN
Structure: single point on PBEsol structure

Properties
D(E_F): 6.9 states/eV per cell
Energy of formation: -486 meV/atom

Cell lengths 4.4715, 4.4715, 5.3819 Å; angles 90.00, 90.00, 120.00 degrees
Last column: nearest neighbours and their distance in Å.
Positions (direct):
Ga1 0.6667 0.3333 0.7500  5 Ti 2.58-2.69
Ti1 0.0000 0.0000 0.0000  8 Ti 2.69-2.91, 6 Ga 2.91
Ti2 0.0000 0.0000 0.5000  8 Ti 2.69-2.91, 6 Ga 2.91
Ti3 0.6667 0.3333 0.2500  5 Ga 2.58-2.69
Ga2 0.3333 0.6667 0.2500  5 Ti 2.58-2.69
Ti4 0.3333 0.6667 0.7500  5 Ga 2.58-2.69

# 15
Compound: TiTl3Ga
Source: Alexandria
Functional: meta-GGA SCAN
Structure: single point on PBEsol structure

Properties
D(E_F): 4.1 states/eV per cell
Energy of formation: 679 meV/atom

Cell lengths 5.2424, 5.2424, 5.2424 Å; angles 90.00, 90.00, 90.00 degrees
Last column: nearest neighbours and their distance in Å.
Positions (direct):
Ti1 0.5000 0.5000 0.5000  12 Tl 3.71
Tl1 0.0000 0.5000 0.0000  2 Ga 2.62
Ga1 0.0000 0.0000 0.0000  6 Tl 2.62
Tl2 0.5000 0.0000 0.0000  2 Ga 2.62
Tl3 0.0000 0.0000 0.5000  2 Ga 2.62

# 16
Compound: Ti2TlGa
Source: Alexandria
Functional: meta-GGA SCAN
Structure: single point on PBEsol structure

Properties
D(E_F): 3.9 states/eV per cell
Energy of formation: -111 meV/atom

Cell lengths 4.6050, 4.6050, 4.6050 Å; angles 60.00, 60.00, 60.00 degrees
Last column: nearest neighbours and their distance in Å.
Positions (direct):
Ti1 0.7500 0.7500 0.7500  4 Ga 2.82, 4 Tl 2.82
Ti2 0.2500 0.2500 0.2500  4 Tl 2.82, 4 Ga 2.82
Tl1 0.5000 0.5000 0.5000  8 Ti 2.82
Ga1 0.0000 0.0000 0.0000  8 Ti 2.82

# 17
Compound: Ti2Ga2W
Source: Alexandria
Functional: meta-GGA SCAN
Structure: single point on PBEsol structure

Properties
D(E_F): 6.5 states/eV per cell
Energy of formation: -389 meV/atom

Cell lengths 3.3611, 6.7324, 6.7324 Å; angles 90.00, 90.00, 90.00 degrees
Last column: nearest neighbours and their distance in Å.
Positions (direct):
Ga1 0.0000 0.6271 0.1271  1 Ga 2.42, 6 Ti 2.51-2.67, 2 W 2.65
W1 0.0000 0.0000 0.0000  4 Ga 2.65
Ti1 0.5000 0.3230 0.1771  6 Ga 2.51-2.67
W2 0.0000 0.5000 0.5000  4 Ga 2.65
Ga2 0.0000 0.8729 0.6271  1 Ga 2.42, 6 Ti 2.51-2.67, 2 W 2.65
Ti2 0.5000 0.1771 0.6770  6 Ga 2.51-2.67
Ti3 0.5000 0.8230 0.3230  6 Ga 2.51-2.67
Ga3 0.0000 0.3729 0.8729  1 Ga 2.42, 6 Ti 2.51-2.67, 2 W 2.65
Ti4 0.5000 0.6770 0.8230  6 Ga 2.51-2.67
Ga4 0.0000 0.1271 0.3729  1 Ga 2.42, 6 Ti 2.51-2.67, 2 W 2.65

# 18
Compound: TiGa2W
Source: Alexandria
Functional: meta-GGA SCAN
Structure: single point on PBEsol structure

Properties
D(E_F): 3.8 states/eV per cell
Energy of formation: -8 meV/atom

Cell lengths 4.3875, 4.3875, 4.3875 Å; angles 60.00, 60.00, 60.00 degrees
Last column: nearest neighbours and their distance in Å.
Positions (direct):
Ga1 0.2500 0.2500 0.2500  4 Ti 2.69, 4 W 2.69
Ga2 0.7500 0.7500 0.7500  4 W 2.69, 4 Ti 2.69
Ti1 0.0000 0.0000 0.0000  8 Ga 2.69
W1 0.5000 0.5000 0.5000  8 Ga 2.69

# 19
Compound: Y2Ti2Ga
Source: Alexandria
Functional: meta-GGA SCAN
Structure: single point on PBEsol structure

Properties
D(E_F): 3.9 states/eV per cell
Energy of formation: 591 meV/atom

Cell lengths 4.1240, 4.1240, 7.2332 Å; angles 106.56, 106.56, 90.00 degrees
Last column: nearest neighbours and their distance in Å.
Positions (direct):
Ti1 0.4251 0.4251 0.8502  1 Ti 1.98
Ga1 0.0000 0.0000 0.0000  8 Ti 3.08
Y1 0.7500 0.2500 0.5000  4 Y 2.92, 4 Ti 3.10
Ti2 0.5749 0.5749 0.1498  1 Ti 1.98
Y2 0.2500 0.7500 0.5000  4 Y 2.92, 4 Ti 3.10

# 20
Compound: YTi2Ga2
Source: Alexandria
Functional: meta-GGA SCAN
Structure: single point on PBEsol structure

Properties
D(E_F): 3.3 states/eV per cell
Energy of formation: -566 meV/atom

Cell lengths 3.9726, 3.9726, 6.6089 Å; angles 107.49, 107.49, 90.00 degrees
Last column: nearest neighbours and their distance in Å.
Positions (direct):
Ga1 0.6028 0.6028 0.2056  1 Ga 2.46, 4 Ti 2.65
Ti1 0.2500 0.7500 0.5000  4 Ga 2.65, 4 Ti 2.81
Ti2 0.7500 0.2500 0.5000  4 Ga 2.65, 4 Ti 2.81
Y1 0.0000 0.0000 0.0000  8 Ga 3.07
Ga2 0.3972 0.3972 0.7944  1 Ga 2.46, 4 Ti 2.65

Number 1: uncorrected energy -20.96 eV/atom, V 27.46 A^3/atom. Number 2: uncorrected energy -27.96 eV/atom, V 16.40 A^3/atom. Number 3: uncorrected energy -28.87 eV/atom, V 25.45 A^3/atom. Number 4: uncorrected energy -29.21 eV/atom, V 30.41 A^3/atom. Number 5: uncorrected energy -27.16 eV/atom, V 29.64 A^3/atom. Number 6: uncorrected energy -39.97 eV/atom, V 30.89 A^3/atom. Number 7: uncorrected energy -29.34 eV/atom, V 27.20 A^3/atom. Number 8: uncorrected energy -31.45 eV/atom, V 38.42 A^3/atom. Number 9: uncorrected energy -28.28 eV/atom, V 29.52 A^3/atom. Number 10: uncorrected energy -56.71 eV/atom, V 24.73 A^3/atom. Number 11: uncorrected energy -43.60 eV/atom, V 21.54 A^3/atom. Number 12: uncorrected energy -16.78 eV/atom, V 15.15 A^3/atom. Number 13: uncorrected energy -16.71 eV/atom, V 15.49 A^3/atom. Number 14: uncorrected energy -16.62 eV/atom, V 15.53 A^3/atom. Number 15: uncorrected energy -49.21 eV/atom, V 28.81 A^3/atom. Number 16: uncorrected energy -30.30 eV/atom, V 17.26 A^3/atom. Number 17: uncorrected energy -27.28 eV/atom, V 15.23 A^3/atom. Number 18: uncorrected energy -29.61 eV/atom, V 14.93 A^3/atom. Number 19: uncorrected energy -20.23 eV/atom, V 22.52 A^3/atom. Number 20: uncorrected energy -19.09 eV/atom, V 18.88 A^3/atom.